CaAs2Br (PBE-GGA, optimized geometry); offset from the most stable computed form = 1.0349 eV/atom; calculated volume = 98.46 Å³ per cell; VASP energy = -3.09 eV/atom
1.0
1.761 1.017 9.163
-1.761 1.017 9.163
0.000 -2.034 9.163
Ca As Br
1 2 1
Cartesian
0.000 0.000 0.000
0.000 0.000 6.831
0.000 0.000 20.658
0.000 0.000 13.744